Record 1
# La8Ni3HI4 | Alexandria via LeMat-Bulk | GGA-PBE | optimized geometry
# Crystal system: monoclinic
# Electronic total energy in eV/atom: -4.840
data_La8Ni3HI4
_cell_length_a 14.4660
_cell_length_b 8.3066
_cell_length_c 9.4333
_cell_angle_alpha 90.00
_cell_angle_beta 120.78
_cell_angle_gamma 90.00
_space_group_name_H-M_alt 'C 1 2/m 1'
_space_group_IT_number 12
loop_
_space_group_symop_operation_xyz
'x,y,z'
'-x,-y,-z'
'-x,y,-z'
'x,-y,z'
'x+1/2,y+1/2,z'
'-x+1/2,-y+1/2,-z'
'-x+1/2,y+1/2,-z'
'x+1/2,-y+1/2,z'
loop_
_atom_site_label
_atom_site_type_symbol
_atom_site_fract_x
_atom_site_fract_y
_atom_site_fract_z
_atom_site_occupancy
La1 La 0.0194 0.2504 0.3100 1
La2 La 0.2281 0.0000 0.6832 1
La3 La 0.2308 0.5000 0.6904 1
Ni1 Ni 0.0000 0.0000 0.5000 1
Ni2 Ni 0.2500 0.2500 0.5000 1
H1 H 0.0000 0.5000 0.5000 1
I1 I 0.0000 0.0000 0.0000 1
I2 I 0.0000 0.5000 0.0000 1
I3 I 0.2500 0.2500 0.0000 1


Record 2
# Sr6Ca2Mg | Alexandria via LeMat-Bulk | GGA-PBE | optimized geometry
# Crystal system: hexagonal
# Energy of formation in eV per atom: 0.06
# Distance to the lowest polymorph of the same formula in meV per atom: 44
# Electronic total energy in eV/atom: -1.681
data_Sr6Ca2Mg
_cell_length_a 4.1296
_cell_length_b 4.1296
_cell_length_c 29.7730
_cell_angle_alpha 90.00
_cell_angle_beta 90.00
_cell_angle_gamma 120.00
_space_group_name_H-M_alt 'P -6 m 2'
_space_group_IT_number 187
_space_group_name_Hall 'P -6 2'
loop_
_atom_site_label
_atom_site_type_symbol
_atom_site_fract_x
_atom_site_fract_y
_atom_site_fract_z
_atom_site_occupancy
Sr1 Sr 0.0000 0.0000 0.0662 1
Sr2 Sr 0.0000 0.0000 0.2893 1
Sr3 Sr 0.3333 0.6667 0.4083 1
Ca1 Ca 0.3333 0.6667 0.1772 1
Mg1 Mg 0.0000 0.0000 0.5000 1


Record 3
# Tb4ScSn2 | Alexandria via LeMat-Bulk | GGA-PBE | optimized geometry
# Crystal system: trigonal
# Energy of formation in eV per atom: -0.26
# Electronic total energy in eV/atom: -4.955
data_Tb4ScSn2
_cell_length_a 5.3211
_cell_length_b 5.3211
_cell_length_c 26.9329
_cell_angle_alpha 90.00
_cell_angle_beta 90.00
_cell_angle_gamma 120.00
_space_group_name_H-M_alt 'R -3 m'
_space_group_IT_number 166
_space_group_name_Hall '-R 3 2"'
loop_
_atom_site_label
_atom_site_type_symbol
_atom_site_fract_x
_atom_site_fract_y
_atom_site_fract_z
_atom_site_occupancy
Tb1 Tb 0.0000 0.0000 0.1269 1
Tb2 Tb 0.0000 0.0000 0.2791 1
Sc1 Sc 0.0000 0.0000 0.5000 1
Sn1 Sn 0.0000 0.0000 0.3943 1


Record 4
# NaSnSb2Ir | Alexandria via LeMat-Bulk | GGA-PBE | optimized geometry
# Crystal system: tetragonal
# Formation energy from raw total energies in eV/atom: 0.202
# Electronic total energy in eV/atom: -4.283
data_NaSnSb2Ir
_cell_length_a 5.3566
_cell_length_b 5.3566
_cell_length_c 5.1374
_cell_angle_alpha 90.00
_cell_angle_beta 90.00
_cell_angle_gamma 90.00
_space_group_name_H-M_alt 'P 4/m m m'
_space_group_IT_number 123
_space_group_name_Hall '-P 4 2'
loop_
_atom_site_label
_atom_site_type_symbol
_atom_site_fract_x
_atom_site_fract_y
_atom_site_fract_z
_atom_site_occupancy
Na1 Na 0.0000 0.0000 0.0000 1
Sn1 Sn 0.5000 0.5000 0.0000 1
Sb1 Sb 0.0000 0.5000 0.5000 1
Ir1 Ir 0.5000 0.5000 0.5000 1


Record 5
# MgV2S4 | Alexandria via LeMat-Bulk | GGA-PBE | optimized geometry
# Crystal system: tetragonal
# Formation energy from raw total energies in eV/atom: -0.985
# Distance to the lowest polymorph of the same formula in meV per atom: 0
# Electronic total energy in eV/atom: -6.176
data_MgV2S4
_cell_length_a 7.3536
_cell_length_b 7.3536
_cell_length_c 9.9091
_cell_angle_alpha 90.00
_cell_angle_beta 90.00
_cell_angle_gamma 90.00
_space_group_name_H-M_alt 'I 41/a m d'
_space_group_IT_number 141
loop_
_space_group_symop_operation_xyz
'x,y,z'
'-x,-y,-z'
'-y+1/4,x+3/4,z+1/4'
'y+1/4,-x+3/4,-z+1/4'
'-x+1/2,-y,z+1/2'
'x+1/2,y,-z+1/2'
'y+1/4,-x+1/4,z+3/4'
'-y+1/4,x+1/4,-z+3/4'
'x,-y,-z'
'-x,y,z'
'-y+1/4,-x+1/4,-z+3/4'
'y+1/4,x+1/4,z+3/4'
'-x+1/2,y,-z+1/2'
'x+1/2,-y,z+1/2'
'y+1/4,x+3/4,-z+1/4'
'-y+1/4,-x+3/4,z+1/4'
'x+1/2,y+1/2,z+1/2'
'-x+1/2,-y+1/2,-z+1/2'
'-y+3/4,x+1/4,z+3/4'
'y+3/4,-x+1/4,-z+3/4'
'-x,-y+1/2,z'
'x,y+1/2,-z'
'y+3/4,-x+3/4,z+1/4'
'-y+3/4,x+3/4,-z+1/4'
'x+1/2,-y+1/2,-z+1/2'
'-x+1/2,y+1/2,z+1/2'
'-y+3/4,-x+3/4,-z+1/4'
'y+3/4,x+3/4,z+1/4'
'-x,y+1/2,-z'
'x,-y+1/2,z'
'y+3/4,x+1/4,-z+3/4'
'-y+3/4,-x+1/4,z+3/4'
loop_
_atom_site_label
_atom_site_type_symbol
_atom_site_fract_x
_atom_site_fract_y
_atom_site_fract_z
_atom_site_occupancy
Mg1 Mg 0.0000 0.2500 0.3750 1
V1 V 0.0000 0.0000 0.0000 1
S1 S 0.0000 0.0295 0.7541 1


Record 6
# Li2HoSc3Se6 | Alexandria via LeMat-Bulk | GGA-PBE | optimized geometry
# Crystal system: monoclinic
# Formation energy from raw total energies in eV/atom: -1.647
# Electronic total energy in eV/atom: -5.672
data_Li2HoSc3Se6
_cell_length_a 6.7260
_cell_length_b 11.6511
_cell_length_c 6.8547
_cell_angle_alpha 90.00
_cell_angle_beta 109.14
_cell_angle_gamma 90.00
_space_group_name_H-M_alt 'C 1 2/m 1'
_space_group_IT_number 12
loop_
_space_group_symop_operation_xyz
'x,y,z'
'-x,-y,-z'
'-x,y,-z'
'x,-y,z'
'x+1/2,y+1/2,z'
'-x+1/2,-y+1/2,-z'
'-x+1/2,y+1/2,-z'
'x+1/2,-y+1/2,z'
loop_
_atom_site_label
_atom_site_type_symbol
_atom_site_fract_x
_atom_site_fract_y
_atom_site_fract_z
_atom_site_occupancy
Li1 Li 0.0000 0.1679 0.0000 1
Ho1 Ho 0.0000 0.5000 0.0000 1
Sc1 Sc 0.0000 0.0000 0.5000 1
Sc2 Sc 0.0000 0.3346 0.5000 1
Se1 Se 0.2448 0.0000 0.2546 1
Se2 Se 0.2452 0.1699 0.7452 1


Record 7
# Be3AlH9 | Alexandria via LeMat-Bulk | GGA-PBE | optimized geometry
# Crystal system: monoclinic
# Electronic total energy in eV/atom: -3.503
data_Be3AlH9
_cell_length_a 11.5116
_cell_length_b 5.6838
_cell_length_c 8.2815
_cell_angle_alpha 90.00
_cell_angle_beta 127.05
_cell_angle_gamma 90.00
_space_group_name_H-M_alt 'C 1 c 1'
_space_group_IT_number 9
loop_
_space_group_symop_operation_xyz
'x,y,z'
'x,-y,z+1/2'
'x+1/2,y+1/2,z'
'x+1/2,-y+1/2,z+1/2'
loop_
_atom_site_label
_atom_site_type_symbol
_atom_site_fract_x
_atom_site_fract_y
_atom_site_fract_z
_atom_site_occupancy
Be1 Be 0.0000 0.0684 0.0000 1
Be2 Be 0.0941 0.3821 0.9022 1
Be3 Be 0.3852 0.0850 0.5696 1
Al1 Al 0.2358 0.2650 0.7298 1
H1 H 0.0822 0.1088 0.6468 1
H2 H 0.0974 0.1471 0.9609 1
H3 H 0.1152 0.4617 0.5506 1
H4 H 0.2166 0.3975 0.9000 1
H5 H 0.2616 0.1593 0.5588 1
H6 H 0.3366 0.0322 0.8857 1
H7 H 0.3768 0.4614 0.8202 1
H8 H 0.4539 0.0935 0.2175 1
H9 H 0.4742 0.2851 0.6151 1


Record 8
# BaFe2Os | Alexandria via LeMat-Bulk | GGA-PBE | optimized geometry
# Crystal system: trigonal
# Energy of formation in eV per atom: 1.03
# Distance to the lowest polymorph of the same formula in meV per atom: 629
# Electronic total energy in eV/atom: -6.492
data_BaFe2Os
_cell_length_a 2.9774
_cell_length_b 2.9774
_cell_length_c 28.4466
_cell_angle_alpha 90.00
_cell_angle_beta 90.00
_cell_angle_gamma 120.00
_space_group_name_H-M_alt 'R 3 m'
_space_group_IT_number 160
_space_group_name_Hall 'R 3 -2"'
loop_
_atom_site_label
_atom_site_type_symbol
_atom_site_fract_x
_atom_site_fract_y
_atom_site_fract_z
_atom_site_occupancy
Ba1 Ba 0.0000 0.0000 0.0000 1
Fe1 Fe 0.0000 0.0000 0.2293 1
Fe2 Fe 0.0000 0.0000 0.5022 1
Os1 Os 0.0000 0.0000 0.7692 1


Record 9
# Sm2Ga4AgPd3 | Alexandria via LeMat-Bulk | GGA-PBE | optimized geometry
# Crystal system: tetragonal
# Energy of formation in eV per atom: -0.69
# Electronic total energy in eV/atom: -4.692
data_Sm2Ga4AgPd3
_cell_length_a 4.2229
_cell_length_b 4.2229
_cell_length_c 10.9250
_cell_angle_alpha 90.00
_cell_angle_beta 90.00
_cell_angle_gamma 90.00
_space_group_name_H-M_alt 'P -4 m 2'
_space_group_IT_number 115
loop_
_space_group_symop_operation_xyz
'x,y,z'
'y,-x,-z'
'-x,-y,z'
'-y,x,-z'
'-x,y,z'
'-y,-x,-z'
'x,-y,z'
'y,x,-z'
loop_
_atom_site_label
_atom_site_type_symbol
_atom_site_fract_x
_atom_site_fract_y
_atom_site_fract_z
_atom_site_occupancy
Sm1 Sm 0.0000 0.5000 0.2384 1
Ga1 Ga 0.0000 0.0000 0.0000 1
Ga2 Ga 0.0000 0.5000 0.6398 1
Ga3 Ga 0.5000 0.5000 0.0000 1
Ag1 Ag 0.0000 0.0000 0.5000 1
Pd1 Pd 0.0000 0.5000 0.8673 1
Pd2 Pd 0.5000 0.5000 0.5000 1


Record 10
# Na4Tb3SiO8 | Alexandria via LeMat-Bulk | GGA-PBE | optimized geometry
# Crystal system: trigonal
# Formation energy from raw total energies in eV/atom: -2.454
# Electronic total energy in eV/atom: -6.470
data_Na4Tb3SiO8
_cell_length_a 6.6378
_cell_length_b 6.6378
_cell_length_c 16.7638
_cell_angle_alpha 90.00
_cell_angle_beta 90.00
_cell_angle_gamma 120.00
_space_group_name_H-M_alt 'R -3 m'
_space_group_IT_number 166
_space_group_name_Hall '-R 3 2"'
loop_
_atom_site_label
_atom_site_type_symbol
_atom_site_fract_x
_atom_site_fract_y
_atom_site_fract_z
_atom_site_occupancy
Na1 Na 0.0000 0.0000 0.0000 1
Na2 Na 0.0000 0.5000 0.0000 1
Tb1 Tb 0.0000 0.5000 0.5000 1
Si1 Si 0.0000 0.0000 0.5000 1
O1 O 0.0000 0.0000 0.2404 1
O2 O 0.0558 0.5279 0.2294 1


Record 11
# NdNi4Pb | Alexandria via LeMat-Bulk | GGA-PBE | optimized geometry
# Crystal system: cubic
# Energy of formation in eV per atom: -0.19
# Electronic total energy in eV/atom: -5.453
data_NdNi4Pb
_cell_length_a 7.2382
_cell_length_b 7.2382
_cell_length_c 7.2382
_cell_angle_alpha 90.00
_cell_angle_beta 90.00
_cell_angle_gamma 90.00
_space_group_name_H-M_alt 'F -4 3 m'
_space_group_IT_number 216
_space_group_name_Hall 'F -4 2 3'
loop_
_atom_site_label
_atom_site_type_symbol
_atom_site_fract_x
_atom_site_fract_y
_atom_site_fract_z
_atom_site_occupancy
Nd1 Nd 0.0000 0.0000 0.0000 1
Ni1 Ni 0.1245 0.1245 0.3755 1
Pb1 Pb 0.2500 0.2500 0.7500 1


Record 12
# K3Au2F8 | Alexandria via LeMat-Bulk | GGA-PBE | optimized geometry
# Crystal system: trigonal
# Formation energy from raw total energies in eV/atom: -1.682
# Electronic total energy in eV/atom: -3.591
data_K3Au2F8
_cell_length_a 6.6550
_cell_length_b 6.6550
_cell_length_c 20.0534
_cell_angle_alpha 90.00
_cell_angle_beta 90.00
_cell_angle_gamma 120.00
_space_group_name_H-M_alt 'R -3 m'
_space_group_IT_number 166
_space_group_name_Hall '-R 3 2"'
loop_
_atom_site_label
_atom_site_type_symbol
_atom_site_fract_x
_atom_site_fract_y
_atom_site_fract_z
_atom_site_occupancy
K1 K 0.0000 0.0000 0.0000 1
K2 K 0.0000 0.0000 0.2080 1
Au1 Au 0.0000 0.0000 0.4365 1
F1 F 0.0000 0.0000 0.3341 1
F2 F 0.0357 0.5179 0.7728 1